# Na2NiO3

An optimized crystal structure of Na2NiO3 (PBE with a Hubbard U, Alexandria via LeMat-Bulk).

abc: 5.239 5.239 10.805
angles: 85.20 85.20 119.99
Atoms (fractional coordinates):
1 O 0.052 0.257 0.349
2 O 0.326 0.497 0.651
3 O 0.571 0.120 0.651
4 O 0.674 0.503 0.349
5 O 0.257 0.052 0.849
6 O 0.743 0.948 0.151
7 O 0.120 0.571 0.151
8 O 0.948 0.743 0.651
9 O 0.503 0.674 0.849
10 O 0.497 0.326 0.151
11 O 0.429 0.880 0.349
12 O 0.880 0.429 0.849
13 Na 0.086 0.914 0.250
14 Na 0.684 0.843 0.500
15 Na 0.914 0.086 0.750
16 Na 0.500 0.000 0.000
17 Na 0.157 0.316 0.000
18 Na 0.000 0.500 0.500
19 Na 0.843 0.684 0.000
20 Na 0.316 0.157 0.500
21 Ni 0.419 0.581 0.250
22 Ni 0.752 0.248 0.250
23 Ni 0.248 0.752 0.750
24 Ni 0.581 0.419 0.750

Calculated values
The total energy is -4.3762 eV per atom. Its symmetry is C2/c.